[1]
Below is Pu3UPt8 after structural relaxation, with properties calculated at the PBE level.

Geometry as POSCAR:
```
Pu3UPt8
1.0
2.721 1.571 8.895
-2.721 1.571 8.895
0.000 -3.142 8.895
Pu U Pt
3 1 8
Direct
0.000 0.000 0.000
0.125 0.125 0.125
0.500 0.500 0.500
0.625 0.625 0.625
0.061 0.562 0.562
0.062 0.062 0.564
0.062 0.564 0.062
0.312 0.312 0.312
0.562 0.061 0.562
0.562 0.562 0.061
0.564 0.062 0.062
0.812 0.812 0.812
```

Results
M_tot	18.4	μB/f.u.
energy of formation	-0.8141	eV per atom



[2]
Below is PuUPt2 after structural relaxation, with properties calculated at the PBE level.

Geometry as POSCAR:
```
PuUPt2
1.0
3.797 0.000 0.000
0.000 3.797 0.000
0.000 0.000 5.798
Pu U Pt
1 1 2
Direct
0.000 0.000 0.000
0.000 0.000 0.500
0.500 0.500 0.253
0.500 0.500 0.747
```

Results
M_tot	8.4	μB/f.u.
energy of formation	-0.6276	eV per atom



[3]
Below is Pu2UPt2 after structural relaxation, with properties calculated at the PBE level.

Geometry as POSCAR:
```
Pu2UPt2
1.0
5.261 -2.280 0.000
5.261 2.280 0.000
-2.139 0.000 8.347
Pu U Pt
4 2 4
Direct
0.029 0.029 0.330
0.145 0.145 0.110
0.855 0.855 0.890
0.971 0.971 0.670
0.265 0.265 0.729
0.735 0.735 0.271
0.365 0.365 0.432
0.416 0.416 0.106
0.584 0.584 0.894
0.635 0.635 0.568
```

Results
M_tot	0.6	μB/f.u.
energy of formation	-0.5016	eV per atom